1.
# SbPtRh2

Crystalline SbPtRh2 at its relaxed geometry (PBE, the Alexandria database).

Lattice parameters (Å, degrees): 3.0742 3.0742 6.8959 90.00 90.00 90.00
Sites, in units of the cell vectors:
Sb: 0.0000 0.0000 0.0000
Pt: 0.0000 0.0000 0.5000
Rh: 0.5000 0.5000 0.2361
Rh: 0.5000 0.5000 0.7639

Results
Magnetic moment in μB/atom: 0.000
DFT total energy in Ha/atom: -0.22960

---

2.
# SbPt2Rh

Crystalline SbPt2Rh at its relaxed geometry (PBE, the Alexandria database).

Lattice parameters (Å, degrees): 3.4372 3.4372 5.7275 90.00 90.00 90.00
Sites, in units of the cell vectors:
Sb: 0.0000 0.0000 0.0000
Pt: 0.0000 0.0000 0.5073
Pt: 0.5000 0.5000 0.2738
Rh: 0.5000 0.5000 0.7622

Results
Magnetic moment in μB/atom: 0.000
DFT total energy in Ha/atom: -0.21939

---

3.
# Sb2PtRh

Crystalline Sb2PtRh at its relaxed geometry (PBE, the Alexandria database).

Lattice parameters (Å, degrees): 4.0749 4.0749 19.2656 90.00 90.00 120.00
Sites, in units of the cell vectors:
Sb: 0.0000 0.0000 0.0000
Sb: 0.0000 0.0000 0.1876
Sb: 0.3333 0.6667 0.6667
Sb: 0.3333 0.6667 0.8543
Sb: 0.6667 0.3333 0.3333
Sb: 0.6667 0.3333 0.5209
Pt: 0.0000 0.0000 0.4603
Pt: 0.3333 0.6667 0.1270
Pt: 0.6667 0.3333 0.7937
Rh: 0.0000 0.0000 0.7221
Rh: 0.3333 0.6667 0.3888
Rh: 0.6667 0.3333 0.0555

Results
Magnetic moment in μB/atom: 0.000
DFT total energy in Ha/atom: -0.20515
Energy above the most stable polymorph in this dataset in meV per atom: 175

---

4.
# Sb2PtRh2

Crystalline Sb2PtRh2 at its relaxed geometry (PBE, the Alexandria database).

Lattice parameters (Å, degrees): 7.3773 7.3773 3.2830 90.00 90.00 90.00
Sites, in units of the cell vectors:
Sb: 0.1639 0.3361 0.0000
Sb: 0.3361 0.8361 0.0000
Sb: 0.6639 0.1639 0.0000
Sb: 0.8361 0.6639 0.0000
Pt: 0.0000 0.0000 0.5000
Pt: 0.5000 0.5000 0.5000
Rh: 0.1367 0.6367 0.5000
Rh: 0.3633 0.1367 0.5000
Rh: 0.6367 0.8633 0.5000
Rh: 0.8633 0.3633 0.5000

Results
Magnetic moment in μB/atom: 0.000
DFT total energy in Ha/atom: -0.22025

---

5.
# SbPtRh2

Crystalline SbPtRh2 at its relaxed geometry (PBE, the Alexandria database).

Lattice parameters (Å, degrees): 3.4481 3.4481 5.5808 90.00 90.00 90.00
Sites, in units of the cell vectors:
Sb: 0.0000 0.0000 0.0000
Pt: 0.5000 0.5000 0.2800
Rh: 0.0000 0.0000 0.5024
Rh: 0.5000 0.5000 0.7594

Results
Magnetic moment in μB/atom: 0.000
DFT total energy in Ha/atom: -0.22932

---

6.
# Sb2PtRh

Crystalline Sb2PtRh at its relaxed geometry (PBE, the Alexandria database).

Lattice parameters (Å, degrees): 6.7903 6.7903 6.7903 90.00 90.00 90.00
Sites, in units of the cell vectors:
Sb: 0.0000 0.0000 0.0000
Sb: 0.0000 0.5000 0.5000
Sb: 0.2500 0.2500 0.2500
Sb: 0.2500 0.7500 0.7500
Sb: 0.5000 0.0000 0.5000
Sb: 0.5000 0.5000 0.0000
Sb: 0.7500 0.2500 0.7500
Sb: 0.7500 0.7500 0.2500
Pt: 0.0000 0.0000 0.5000
Pt: 0.0000 0.5000 0.0000
Pt: 0.5000 0.0000 0.0000
Pt: 0.5000 0.5000 0.5000
Rh: 0.2500 0.2500 0.7500
Rh: 0.2500 0.7500 0.2500
Rh: 0.7500 0.2500 0.2500
Rh: 0.7500 0.7500 0.7500

Results
Magnetic moment in μB/atom: 0.000
DFT total energy in Ha/atom: -0.18959
Energy above the most stable polymorph in this dataset in meV per atom: 598

---

7.
# SbPtRh2

Crystalline SbPtRh2 at its relaxed geometry (PBE, the Alexandria database).

Lattice parameters (Å, degrees): 3.0278 3.0278 25.1959 90.00 90.00 120.00
Sites, in units of the cell vectors:
Sb: 0.0000 0.0000 0.0000
Sb: 0.3333 0.6667 0.6667
Sb: 0.6667 0.3333 0.3333
Pt: 0.0000 0.0000 0.5000
Pt: 0.3333 0.6667 0.1667
Pt: 0.6667 0.3333 0.8333
Rh: 0.0000 0.0000 0.2546
Rh: 0.0000 0.0000 0.7454
Rh: 0.3333 0.6667 0.4120
Rh: 0.3333 0.6667 0.9213
Rh: 0.6667 0.3333 0.0787
Rh: 0.6667 0.3333 0.5880

Results
Magnetic moment in μB/atom: 0.000
DFT total energy in Ha/atom: -0.22625

---

8.
# SbPt2Rh

Crystalline SbPt2Rh at its relaxed geometry (PBE, the Alexandria database).

Lattice parameters (Å, degrees): 3.5156 3.5156 5.5450 90.00 90.00 90.00
Sites, in units of the cell vectors:
Sb: 0.0000 0.0000 0.0000
Pt: 0.5000 0.5000 0.2601
Pt: 0.5000 0.5000 0.7399
Rh: 0.0000 0.0000 0.5000

Results
Magnetic moment in μB/atom: 0.000
DFT total energy in Ha/atom: -0.21797

---

9.
# SbPtRh3

Crystalline SbPtRh3 at its relaxed geometry (PBE, the Alexandria database).

Lattice parameters (Å, degrees): 4.7988 4.7988 4.7988 90.00 90.00 90.00
Sites, in units of the cell vectors:
Sb: 0.0000 0.0000 0.0000
Pt: 0.5000 0.5000 0.5000
Rh: 0.0000 0.5000 0.5000
Rh: 0.5000 0.0000 0.5000
Rh: 0.5000 0.5000 0.0000

Results
Magnetic moment in μB/atom: 0.519
DFT total energy in Ha/atom: -0.19334
Energy above the most stable polymorph in this dataset in meV per atom: 0

---

10.
# SbPt8Rh2

Crystalline SbPt8Rh2 at its relaxed geometry (PBE, the Alexandria database).

Lattice parameters (Å, degrees): 7.4381 7.4381 6.3057 104.85 104.85 31.21
Sites, in units of the cell vectors:
Sb: 0.0000 0.0000 0.0000
Pt: 0.0941 0.0941 0.4539
Pt: 0.1835 0.1835 0.9127
Pt: 0.3609 0.3609 0.8115
Pt: 0.4533 0.4533 0.2749
Pt: 0.5467 0.5467 0.7251
Pt: 0.6391 0.6391 0.1885
Pt: 0.8165 0.8165 0.0873
Pt: 0.9059 0.9059 0.5461
Rh: 0.2752 0.2752 0.3683
Rh: 0.7248 0.7248 0.6317

Results
Magnetic moment in μB/atom: 0.000
DFT total energy in Ha/atom: -0.22673

---

11.
# SbPt4Rh

Crystalline SbPt4Rh at its relaxed geometry (PBE, the Alexandria database).

Lattice parameters (Å, degrees): 5.3085 5.3085 5.3085 60.00 60.00 60.00
Sites, in units of the cell vectors:
Sb: 0.0000 0.0000 0.0000
Pt: 0.3757 0.3757 0.3757
Pt: 0.3757 0.3757 0.8730
Pt: 0.3757 0.8730 0.3757
Pt: 0.8730 0.3757 0.3757
Rh: 0.7500 0.7500 0.7500

Results
Magnetic moment in μB/atom: 0.094
DFT total energy in Ha/atom: -0.21270
Energy above the most stable polymorph in this dataset in meV per atom: 236

---

12.
# Sb2PtRh

Crystalline Sb2PtRh at its relaxed geometry (PBE, the Alexandria database).

Lattice parameters (Å, degrees): 3.8800 3.8800 19.0270 90.00 90.00 120.00
Sites, in units of the cell vectors:
Sb: 0.0000 0.0000 0.2481
Sb: 0.0000 0.0000 0.7519
Sb: 0.3333 0.6667 0.4185
Sb: 0.3333 0.6667 0.9148
Sb: 0.6667 0.3333 0.0852
Sb: 0.6667 0.3333 0.5815
Pt: 0.0000 0.0000 0.0000
Pt: 0.3333 0.6667 0.6667
Pt: 0.6667 0.3333 0.3333
Rh: 0.0000 0.0000 0.5000
Rh: 0.3333 0.6667 0.1667
Rh: 0.6667 0.3333 0.8333

Results
Magnetic moment in μB/atom: 0.000
DFT total energy in Ha/atom: -0.20599
Energy above the most stable polymorph in this dataset in meV per atom: 152

---

13.
# SbPt2Rh

Crystalline SbPt2Rh at its relaxed geometry (PBE, the Alexandria database).

Lattice parameters (Å, degrees): 3.8569 3.8569 19.1867 90.00 90.00 90.00
Sites, in units of the cell vectors:
Sb: 0.0000 0.0000 0.0000
Sb: 0.0000 0.5000 0.2500
Sb: 0.5000 0.0000 0.7500
Sb: 0.5000 0.5000 0.5000
Pt: 0.2417 0.2500 0.6250
Pt: 0.2500 0.7417 0.8750
Pt: 0.2500 0.7583 0.3750
Pt: 0.2583 0.2500 0.1250
Pt: 0.7417 0.7500 0.1250
Pt: 0.7500 0.2417 0.3750
Pt: 0.7500 0.2583 0.8750
Pt: 0.7583 0.7500 0.6250
Rh: 0.0000 0.0000 0.5000
Rh: 0.0000 0.5000 0.7500
Rh: 0.5000 0.0000 0.2500
Rh: 0.5000 0.5000 0.0000

Results
Magnetic moment in μB/atom: 0.000
DFT total energy in Ha/atom: -0.21934

---

14.
# Sb2PtRh3

Crystalline Sb2PtRh3 at its relaxed geometry (PBE, the Alexandria database).

Lattice parameters (Å, degrees): 7.1373 7.1373 7.1373 115.22 83.59 133.28
Sites, in units of the cell vectors:
Sb: 0.1391 0.2139 0.3530
Sb: 0.3609 0.7139 0.0748
Sb: 0.6391 0.2861 0.9252
Sb: 0.8609 0.7861 0.6470
Pt: 0.0000 0.5000 0.5000
Pt: 0.5000 0.0000 0.5000
Rh: 0.0276 0.7500 0.2776
Rh: 0.2500 0.2500 0.0000
Rh: 0.4724 0.7500 0.7224
Rh: 0.5276 0.2500 0.2776
Rh: 0.7500 0.7500 0.0000
Rh: 0.9724 0.2500 0.7224

Results
Magnetic moment in μB/atom: 0.000
DFT total energy in Ha/atom: -0.23053

---

15.
# Sb2PtRh

Crystalline Sb2PtRh at its relaxed geometry (PBE, the Alexandria database).

Lattice parameters (Å, degrees): 3.8857 3.8857 5.4736 90.00 90.00 90.00
Sites, in units of the cell vectors:
Sb: 0.0000 0.0000 0.0000
Sb: 0.5000 0.5000 0.5000
Pt: 0.0000 0.0000 0.5000
Rh: 0.5000 0.5000 0.0000

Results
Magnetic moment in μB/atom: 0.000
DFT total energy in Ha/atom: -0.20645
Energy above the most stable polymorph in this dataset in meV per atom: 139

---

16.
# SbPt2Rh2

Crystalline SbPt2Rh2 at its relaxed geometry (PBE, the Alexandria database).

Lattice parameters (Å, degrees): 7.4114 4.7128 4.9962 90.00 111.68 90.00
Sites, in units of the cell vectors:
Sb: 0.0000 0.0000 0.0000
Sb: 0.5000 0.5000 0.0000
Pt: 0.1996 0.0000 0.5756
Pt: 0.3004 0.5000 0.4244
Pt: 0.6996 0.5000 0.5756
Pt: 0.8004 0.0000 0.4244
Rh: 0.1107 0.5000 0.8232
Rh: 0.3893 0.0000 0.1768
Rh: 0.6107 0.0000 0.8232
Rh: 0.8893 0.5000 0.1768

Results
Magnetic moment in μB/atom: 0.000
DFT total energy in Ha/atom: -0.23176
Energy above the most stable polymorph in this dataset in meV per atom: 0

---

17.
# SbPt5Rh6

Crystalline SbPt5Rh6 at its relaxed geometry (PBE, the Alexandria database).

Lattice parameters (Å, degrees): 3.9587 7.7721 6.2612 90.00 108.36 90.00
Sites, in units of the cell vectors:
Sb: 0.0000 0.0000 0.0000
Pt: 0.0000 0.5000 0.0000
Pt: 0.3331 0.0000 0.6665
Pt: 0.3343 0.5000 0.6696
Pt: 0.6657 0.5000 0.3304
Pt: 0.6669 0.0000 0.3335
Rh: 0.1685 0.2505 0.3360
Rh: 0.1685 0.7495 0.3360
Rh: 0.5000 0.2513 0.0000
Rh: 0.5000 0.7487 0.0000
Rh: 0.8315 0.2505 0.6640
Rh: 0.8315 0.7495 0.6640

Results
Magnetic moment in μB/atom: 0.000
DFT total energy in Ha/atom: -0.24328

---

18.
# SbPtRh

Crystalline SbPtRh at its relaxed geometry (PBE, the Alexandria database).

Lattice parameters (Å, degrees): 3.6097 3.6097 8.0703 90.00 90.00 90.00
Sites, in units of the cell vectors:
Sb: 0.0000 0.0000 0.0000
Sb: 0.5000 0.5000 0.5000
Pt: 0.0000 0.0000 0.3300
Pt: 0.5000 0.5000 0.8300
Rh: 0.0000 0.0000 0.6719
Rh: 0.5000 0.5000 0.1719

Results
Magnetic moment in μB/atom: 0.000
DFT total energy in Ha/atom: -0.21844

---

19.
# Sb4PtRh

Crystalline Sb4PtRh at its relaxed geometry (PBE, the Alexandria database).

Lattice parameters (Å, degrees): 6.5052 6.5117 6.5053 90.00 90.83 90.00
Sites, in units of the cell vectors:
Sb: 0.1220 0.1315 0.3721
Sb: 0.1220 0.3685 0.8721
Sb: 0.3681 0.6236 0.3731
Sb: 0.3681 0.8764 0.8731
Sb: 0.6319 0.1236 0.1269
Sb: 0.6319 0.3764 0.6269
Sb: 0.8780 0.6315 0.1279
Sb: 0.8780 0.8685 0.6279
Pt: 0.5000 0.0000 0.5000
Pt: 0.5000 0.5000 0.0000
Rh: 0.0000 0.0000 0.0000
Rh: 0.0000 0.5000 0.5000

Results
Magnetic moment in μB/atom: 0.000
DFT total energy in Ha/atom: -0.19855
Energy above the most stable polymorph in this dataset in meV per atom: 0

---

20.
# SbPt2Rh

Crystalline SbPt2Rh at its relaxed geometry (PBE, the Alexandria database).

Lattice parameters (Å, degrees): 3.1580 4.8391 4.5022 90.00 91.04 90.00
Sites, in units of the cell vectors:
Sb: 0.0000 0.0000 0.0000
Pt: 0.2541 0.5000 0.7455
Pt: 0.7459 0.5000 0.2545
Rh: 0.5000 0.0000 0.5000

Results
Magnetic moment in μB/atom: 0.000
DFT total energy in Ha/atom: -0.21905